{
  "formula": "YHPt",
  "functional": "PBE",
  "state": "relaxed",
  "relative_energy_mev_per_atom": 0,
  "dft_energy_ev_per_atom": -6.162,
  "total_magnetization_mub_per_cell": 0.00,
  "cell": [[1.898, -5.274, 0.000], [1.898, 5.274, 0.000], [0.000, 0.000, 4.711]],
  "species": ["Y", "Y", "H", "H", "Pt", "Pt"],
  "frac_coords": [[0.137, 0.863, 0.750], [0.863, 0.137, 0.250], [0.099, 0.901, 0.250], [0.901, 0.099, 0.750], [0.412, 0.588, 0.750], [0.588, 0.412, 0.250]]
}